Record 1
DFT (PBEsol) results for a relaxed Sc2ZnAu crystal.

Calculated values
DOS(E_F) ... 0.504 states/eV per atom

Lattice parameters (Å, degrees): 3.353 4.680 4.680 90.00 90.00 90.00
Element x y z (fractional)
Sc  0.000  0.000  0.500
Sc  0.000  0.500  0.000
Zn  0.500  0.500  0.500
Au  0.500  0.000  0.000

---

Record 2
DFT (PBEsol) results for a relaxed LiMnRu crystal.

Calculated values
DOS(E_F) ... 0.507 states/eV per atom
Energy relative to the lowest polymorph listed for this composition ... 0 meV/atom

Lattice parameters (Å, degrees): 2.842 2.842 4.769 107.34 107.34 90.00
Element x y z (fractional)
Li  0.004  0.004  0.007
Mn  0.674  0.674  0.349
Ru  0.322  0.322  0.644

---

Record 3
DFT (PBEsol) results for a relaxed MnCu4Sn crystal.

Calculated values
DOS(E_F) ... 0.357 states/eV per atom

Lattice parameters (Å, degrees): 4.852 4.852 4.852 60.00 60.00 60.00
Each line ends with the local moment (μB).
Element x y z (fractional)
Mn  0.000  0.000  0.000  3.94
Sn  0.750  0.750  0.750  0.02
Cu  0.877  0.374  0.374  0.09
Cu  0.374  0.877  0.374  0.09
Cu  0.374  0.374  0.374  0.09
Cu  0.374  0.374  0.877  0.09

---

Record 4
DFT (PBEsol) results for a relaxed BaSrTl2 crystal.

Calculated values
DOS(E_F) ... 0.622 states/eV per atom

Lattice parameters (Å, degrees): 5.764 5.764 5.764 60.00 60.00 60.00
Element x y z (fractional)
Ba  0.500  0.500  0.500
Sr  0.250  0.250  0.250
Tl  0.000  0.000  0.000
Tl  0.750  0.750  0.750

---

Record order is preserved below.
E_form: -0.6253; 0.2654; 0.0840; -0.2141 eV/atom